Run i
## In3SiTe (PBE)

Data for In3SiTe after structural relaxation.

## Properties
Its symmetry is Pm-3m (221). The value obtained for the magnetic moment is 0.00 μB per cell. The calculated volume comes out at 29.7 A^3/atom.

a b c (Å): 5.298 5.298 5.298
angles (deg): 90.00 90.00 90.00
Sites, in units of the cell vectors:
Si1 0.000 0.000 0.000
Te1 0.500 0.500 0.500
In1 0.000 0.500 0.000
In2 0.000 0.000 0.500
In3 0.500 0.000 0.000

---

Run ii
## In3SiTe (PBE)

Data for In3SiTe after structural relaxation.

## Properties
Its symmetry is Pm-3m (221). The value obtained for the magnetic moment is 0.72 μB per cell. The calculated volume comes out at 39.7 A^3/atom.

a b c (Å): 5.832 5.832 5.832
angles (deg): 90.00 90.00 90.00
Each line ends with the local moment (μB).
Sites, in units of the cell vectors:
Si1 0.500 0.500 0.500  0.20
Te1 0.000 0.000 0.000  -0.01
In1 0.000 0.500 0.000  0.00
In2 0.000 0.000 0.500  0.01
In3 0.500 0.000 0.000  -0.02

---

Stability comparison, relative energies in meV per atom: run i 0; run ii 767

---

Run i
## InSiTe4 (PBE)

Data for InSiTe4 after structural relaxation.

## Properties
Its symmetry is F-43m (216). The value obtained for the magnetic moment is 0.60 μB per cell. The calculated volume comes out at 30.4 A^3/atom.

a b c (Å): 6.368 6.368 6.368
angles (deg): 60.00 60.00 60.00
Each line ends with the local moment (μB).
Sites, in units of the cell vectors:
In1 0.750 0.750 0.750  0.02
Si1 0.000 0.000 0.000  0.15
Te1 0.877 0.374 0.374  0.00
Te2 0.374 0.374 0.877  0.00
Te3 0.374 0.877 0.374  0.00
Te4 0.374 0.374 0.374  0.00

---

Run ii
## InSiTe4 (PBE)

Data for InSiTe4 after structural relaxation.

## Properties
Its symmetry is P222 (16). The value obtained for the magnetic moment is 0.00 μB per cell. The calculated volume comes out at 37.7 A^3/atom.

a b c (Å): 7.064 7.105 9.021
angles (deg): 90.00 90.00 90.00
Sites, in units of the cell vectors:
In1 0.000 0.000 0.000
In2 0.500 0.000 0.500
Si1 0.000 0.500 0.000
Si2 0.000 0.000 0.500
Te1 0.215 0.282 0.150
Te2 0.215 0.718 0.850
Te3 0.785 0.282 0.850
Te4 0.785 0.718 0.150
Te5 0.783 0.788 0.652
Te6 0.783 0.212 0.348
Te7 0.217 0.788 0.348
Te8 0.217 0.212 0.652

---

Stability comparison, relative energies in meV per atom: run i 628; run ii 0

---

Run i
## TlIn2Si2 (PBE)

Data for TlIn2Si2 after structural relaxation.

## Properties
Its symmetry is I4/mmm (139). The value obtained for the magnetic moment is 0.00 μB per cell. The calculated volume comes out at 25.3 A^3/atom.

a b c (Å): 4.686 4.686 6.650
angles (deg): 69.37 69.37 90.00
Sites, in units of the cell vectors:
Tl1 0.000 0.000 0.000
Si1 0.750 0.250 0.500
Si2 0.250 0.750 0.500
In1 0.377 0.377 0.247
In2 0.623 0.623 0.753

---

Run ii
## TlIn2Si2 (PBE)

Data for TlIn2Si2 after structural relaxation.

## Properties
Its symmetry is I4/mmm (139). The value obtained for the magnetic moment is 0.00 μB per cell. The calculated volume comes out at 24.6 A^3/atom.

a b c (Å): 4.931 4.931 6.146
angles (deg): 66.35 66.35 90.00
Sites, in units of the cell vectors:
Tl1 0.000 0.000 0.000
Si1 0.383 0.383 0.234
Si2 0.617 0.617 0.766
In1 0.750 0.250 0.500
In2 0.250 0.750 0.500

---

Stability comparison, relative energies in meV per atom: run i 140; run ii 0